Arrangement a

Hf3Ni4Pd4: optimized geometry, PBE.

Geometry as POSCAR:
```
Hf3Ni4Pd4
1.0
-2.7141 2.7141 6.2425
2.7141 -2.7141 6.2425
2.7141 2.7141 -6.2425
Pd Hf Ni
4 3 4
Direct
0.7965 0.7965 0.0000
0.5000 0.0000 0.5000
0.0000 0.5000 0.5000
0.2035 0.2035 0.0000
0.7500 0.2500 0.5000
0.2500 0.7500 0.5000
0.0000 0.0000 0.0000
0.5394 0.2304 0.0000
0.2304 0.5394 0.0000
0.4606 0.4606 0.6910
0.7696 0.7696 0.3090
```

Calculated values
Calculated volume = 183.9 Å³/f.u.

---

Arrangement b

Hf3Ni4Pd4: optimized geometry, PBE.

Geometry as POSCAR:
```
Hf3Ni4Pd4
1.0
6.3459 0.0000 0.0000
0.0000 3.5517 0.0000
-0.3107 0.0000 7.8216
Pd Hf Ni
4 3 4
Direct
0.1292 0.0000 0.8738
0.7561 0.0000 0.6715
0.8118 0.5000 0.0393
0.3065 0.5000 0.4012
0.0818 0.0000 0.2055
0.5989 0.0000 0.2881
0.4412 0.5000 0.7243
0.1170 0.0000 0.5548
0.3549 0.5000 0.0770
0.5346 0.0000 0.9439
0.8700 0.5000 0.4177
```

Calculated values
Calculated volume = 176.3 Å³/f.u.

---

Stability check: which of them is most stable? arrangement b.

---

Arrangement a

HfSiNiPd: optimized geometry, PBE.

Geometry as POSCAR:
```
HfSiNiPd
1.0
1.4515 1.9068 3.6875
-0.1931 4.3717 0.4379
-2.8575 1.8039 2.8145
Si Pd Ni Hf
1 1 1 1
Direct
0.0000 0.0000 0.0000
0.5000 0.5000 0.5000
0.7500 0.7500 0.7500
0.2500 0.2500 0.2500
```

Calculated values
Calculated volume = 60.1 Å³/f.u.

---

Arrangement b

HfSiNiPd: optimized geometry, PBE.

Geometry as POSCAR:
```
HfSiNiPd
1.0
0.0000 3.0962 3.0962
3.0962 0.0000 3.0962
3.0962 3.0962 0.0000
Pd Ni Si Hf
1 1 1 1
Direct
0.2500 0.2500 0.2500
0.7500 0.7500 0.7500
0.0000 0.0000 0.0000
0.5000 0.5000 0.5000
```

Calculated values
Calculated volume = 59.4 Å³/f.u.

---

Stability check: which of them is most stable? arrangement b.

---

Arrangement a

HfTlNiPd: optimized geometry, PBE.

Geometry as POSCAR:
```
HfTlNiPd
1.0
0.0000 3.2494 3.2494
3.2494 0.0000 3.2494
3.2494 3.2494 0.0000
Ni Pd Hf Tl
1 1 1 1
Direct
0.7500 0.7500 0.7500
0.2500 0.2500 0.2500
0.5000 0.5000 0.5000
0.0000 0.0000 0.0000
```

Calculated values
Calculated volume = 68.6 Å³/f.u.

---

Arrangement b

HfTlNiPd: optimized geometry, PBE.

Geometry as POSCAR:
```
HfTlNiPd
1.0
0.0000 3.2679 3.2679
3.2679 0.0000 3.2679
3.2679 3.2679 0.0000
Pd Ni Tl Hf
1 1 1 1
Direct
0.5000 0.5000 0.5000
0.7500 0.7500 0.7500
0.0000 0.0000 0.0000
0.2500 0.2500 0.2500
```

Calculated values
Calculated volume = 69.8 Å³/f.u.

---

Stability check: which of them is most stable? arrangement a.

---

Arrangement a

HfNiPt: optimized geometry, PBE.

Geometry as POSCAR:
```
HfNiPt
1.0
-0.3348 1.3981 4.0511
1.5074 3.8821 1.0654
-2.7318 3.1776 0.9582
Pt Ni Hf
1 1 1
Direct
0.7500 0.7500 0.7500
0.2500 0.2500 0.2500
0.0000 0.0000 0.0000
```

Calculated values
Calculated volume = 56.2 Å³/f.u.

---

Arrangement b

HfNiPt: optimized geometry, PBE.

Geometry as POSCAR:
```
HfNiPt
1.0
0.0000 2.9660 2.9660
2.9660 0.0000 2.9660
2.9660 2.9660 0.0000
Pt Hf Ni
1 1 1
Direct
0.7500 0.7500 0.7500
0.2500 0.2500 0.2500
0.0000 0.0000 0.0000
```

Calculated values
Calculated volume = 52.2 Å³/f.u.

---

Stability check: which of them is most stable? arrangement b.